[1]
The following is a DFT calculation (PBE-GGA) of a relaxed structure of CdSbRu2.

Properties
For the formation energy without anion corrections, the calculation gives 0.119 eV per atom. The calculation puts the total magnetization at 0.00 μB per formula unit.

The structure in CIF format:
```
data_CdSbRu2
_chemical_formula_sum 'Cd1 Sb1 Ru2'
_symmetry_space_group_name_H-M 'P 4/m m m'
_symmetry_Int_Tables_number 123
_symmetry_space_group_name_Hall '-P 4 2'
_cell_length_a 3.2055
_cell_length_b 3.2055
_cell_length_c 6.6010
_cell_angle_alpha 90.00
_cell_angle_beta 90.00
_cell_angle_gamma 90.00
loop_
_atom_site_label
_atom_site_fract_x
_atom_site_fract_y
_atom_site_fract_z
_atom_site_occupancy
Cd1 0.0000 0.0000 0.0000 1
Sb1 0.0000 0.0000 0.5000 1
Ru1 0.5000 0.5000 0.2741 1
```

***

[2]
The following is a DFT calculation (PBE-GGA) of a relaxed structure of Mo2PtI.

Properties
For the formation energy without anion corrections, the calculation gives 1.139 eV per atom. The calculation puts the total magnetization at 0.00 μB per formula unit. For the energy above the lowest structure with this stoichiometry, the calculation gives 548 meV per atom.

The structure in CIF format:
```
data_Mo2PtI
_chemical_formula_sum 'Mo8 Pt4 I4'
_symmetry_space_group_name_H-M 'I -4 2 d'
_symmetry_Int_Tables_number 122
_symmetry_space_group_name_Hall 'I -4 2bw'
_cell_length_a 5.9090
_cell_length_b 5.9090
_cell_length_c 11.7713
_cell_angle_alpha 90.00
_cell_angle_beta 90.00
_cell_angle_gamma 90.00
loop_
_atom_site_label
_atom_site_fract_x
_atom_site_fract_y
_atom_site_fract_z
_atom_site_occupancy
Mo1 0.2155 0.2500 0.1250 1
Pt1 0.0000 0.0000 0.0000 1
I1 0.0000 0.0000 0.5000 1
```

***

[3]
The following is a DFT calculation (PBE-GGA) of a relaxed structure of Tc2HW.

Properties
The calculation puts the total magnetization at 0.00 μB per formula unit. For the energy above the lowest structure with this stoichiometry, the calculation gives 396 meV per atom.

The structure in CIF format:
```
data_Tc2HW
_chemical_formula_sum 'Tc8 H4 W4'
_symmetry_space_group_name_H-M 'F m -3 m'
_symmetry_Int_Tables_number 225
_symmetry_space_group_name_Hall '-F 4 2 3'
_cell_length_a 5.9811
_cell_length_b 5.9811
_cell_length_c 5.9811
_cell_angle_alpha 90.00
_cell_angle_beta 90.00
_cell_angle_gamma 90.00
loop_
_atom_site_label
_atom_site_fract_x
_atom_site_fract_y
_atom_site_fract_z
_atom_site_occupancy
Tc1 0.2500 0.2500 0.2500 1
H1 0.0000 0.0000 0.0000 1
W1 0.0000 0.0000 0.5000 1
```

***

[4]
The following is a DFT calculation (PBE-GGA) of a relaxed structure of CeEr2Mg2In2.

Properties
As for the formation energy: -180 meV/atom. The calculation puts the total magnetization at 1.28 μB per formula unit.

The structure in CIF format:
```
data_CeEr2Mg2In2
_chemical_formula_sum 'Ce3 Er6 Mg6 In6'
_symmetry_space_group_name_H-M 'R -3 m'
_symmetry_Int_Tables_number 166
_symmetry_space_group_name_Hall '-R 3 2"'
_cell_length_a 5.0446
_cell_length_b 5.0446
_cell_length_c 25.6779
_cell_angle_alpha 90.00
_cell_angle_beta 90.00
_cell_angle_gamma 120.00
loop_
_atom_site_label
_atom_site_fract_x
_atom_site_fract_y
_atom_site_fract_z
_atom_site_occupancy
Ce1 0.0000 0.0000 0.0000 1
Er1 0.0000 0.0000 0.1301 1
Mg1 0.0000 0.0000 0.4062 1
In1 0.0000 0.0000 0.2616 1
```